Computed, not measured: a geometry-optimized KSr3Ir structure at the GGA-PBE level of DFT. Values from VASP.

The structure in Quantum ESPRESSO input format:
```
&SYSTEM
  ibrav = 0, nat = 20, ntyp = 3
/
ATOMIC_SPECIES
K 39.10 K.upf
Sr 87.62 Sr.upf
Ir 192.22 Ir.upf
ATOMIC_POSITIONS crystal
K 0.000 0.000 0.000
K 0.000 0.000 0.500
K 0.000 0.500 0.000
K 0.500 0.000 0.000
Sr 0.195 0.195 0.555
Sr 0.195 0.555 0.195
Sr 0.195 0.555 0.555
Sr 0.445 0.445 0.805
Sr 0.445 0.805 0.445
Sr 0.445 0.805 0.805
Sr 0.555 0.195 0.195
Sr 0.555 0.195 0.555
Sr 0.555 0.555 0.195
Sr 0.805 0.445 0.445
Sr 0.805 0.445 0.805
Sr 0.805 0.805 0.445
Ir 0.000 0.500 0.500
Ir 0.500 0.000 0.500
Ir 0.500 0.500 0.000
Ir 0.500 0.500 0.500
CELL_PARAMETERS angstrom
0.000 8.061 8.061
8.061 0.000 8.061
8.061 8.061 0.000
```

Results
Energy = -60.4 eV per cell
ΔE_f = -0.1 eV/f.u.


Computed, not measured: a geometry-optimized NaAgTe2 structure at the GGA-PBE level of DFT. Values from VASP.

The structure in Quantum ESPRESSO input format:
```
&SYSTEM
  ibrav = 0, nat = 16, ntyp = 3
/
ATOMIC_SPECIES
Na 22.99 Na.upf
Ag 107.87 Ag.upf
Te 127.60 Te.upf
ATOMIC_POSITIONS crystal
Na 0.000 0.000 0.000
Na 0.000 0.500 0.250
Na 0.500 0.000 0.750
Na 0.500 0.500 0.500
Ag 0.000 0.000 0.500
Ag 0.000 0.500 0.750
Ag 0.500 0.000 0.250
Ag 0.500 0.500 0.000
Te 0.203 0.250 0.625
Te 0.250 0.703 0.875
Te 0.250 0.797 0.375
Te 0.297 0.250 0.125
Te 0.703 0.750 0.125
Te 0.750 0.203 0.375
Te 0.750 0.297 0.875
Te 0.797 0.750 0.625
CELL_PARAMETERS angstrom
8.498 0.000 0.000
0.000 8.498 0.000
0.000 0.000 6.189
```

Results
Energy = -47.1 eV per cell
Formation energy without anion corrections = -331 meV/atom


Computed, not measured: a geometry-optimized AcLaPb structure at the GGA-PBE level of DFT. Values from VASP.

The structure in Quantum ESPRESSO input format:
```
&SYSTEM
  ibrav = 0, nat = 12, ntyp = 3
/
ATOMIC_SPECIES
Ac 227.00 Ac.upf
La 138.91 La.upf
Pb 207.20 Pb.upf
ATOMIC_POSITIONS crystal
Ac 0.000 0.000 0.000
Ac 0.000 0.000 0.500
Ac 0.500 0.500 0.000
Ac 0.500 0.500 0.500
La 0.000 0.331 0.250
La 0.000 0.669 0.750
La 0.500 0.169 0.750
La 0.500 0.831 0.250
Pb 0.000 0.160 0.250
Pb 0.000 0.840 0.750
Pb 0.500 0.340 0.750
Pb 0.500 0.660 0.250
CELL_PARAMETERS angstrom
3.687 0.000 0.000
0.000 19.102 0.000
0.000 0.000 6.596
```

Results
Energy = -52.0 eV per cell
ΔE_f = -0.3 eV/f.u.


Computed, not measured: a geometry-optimized Hg2BiH2 structure at the GGA-PBE level of DFT. Values from VASP.

The structure in Quantum ESPRESSO input format:
```
&SYSTEM
  ibrav = 0, nat = 10, ntyp = 3
/
ATOMIC_SPECIES
Hg 200.59 Hg.upf
Bi 208.98 Bi.upf
H 1.01 H.upf
ATOMIC_POSITIONS crystal
Hg 0.000 0.000 0.158
Hg 0.000 0.000 0.842
Hg 0.500 0.500 0.342
Hg 0.500 0.500 0.658
Bi 0.000 0.000 0.500
Bi 0.500 0.500 0.000
H 0.000 0.500 0.250
H 0.000 0.500 0.750
H 0.500 0.000 0.250
H 0.500 0.000 0.750
CELL_PARAMETERS angstrom
3.463 0.000 0.000
0.000 3.463 0.000
0.000 0.000 14.958
```

Results
Energy = -17.5 eV per cell


Computed, not measured: a geometry-optimized Sm3EuRh structure at the GGA-PBE level of DFT. Values from VASP.

The structure in Quantum ESPRESSO input format:
```
&SYSTEM
  ibrav = 0, nat = 5, ntyp = 3
/
ATOMIC_SPECIES
Sm 150.36 Sm.upf
Eu 151.96 Eu.upf
Rh 102.91 Rh.upf
ATOMIC_POSITIONS crystal
Sm 0.000 0.000 0.500
Sm 0.000 0.500 0.000
Sm 0.500 0.000 0.000
Eu 0.500 0.500 0.500
Rh 0.000 0.000 0.000
CELL_PARAMETERS angstrom
5.584 0.000 0.000
0.000 5.584 0.000
0.000 0.000 5.584
```

Results
Energy = -33.0 eV per cell
ΔE_f = -1.2 eV/f.u.


Computed, not measured: a geometry-optimized ZrRe2Se structure at the GGA-PBE level of DFT. Values from VASP.

The structure in Quantum ESPRESSO input format:
```
&SYSTEM
  ibrav = 0, nat = 12, ntyp = 3
/
ATOMIC_SPECIES
Zr 91.22 Zr.upf
Re 186.21 Re.upf
Se 78.96 Se.upf
ATOMIC_POSITIONS crystal
Zr 0.000 0.000 0.000
Zr 0.333 0.667 0.667
Zr 0.667 0.333 0.333
Re 0.000 0.000 0.501
Re 0.000 0.000 0.759
Re 0.333 0.667 0.167
Re 0.333 0.667 0.426
Re 0.667 0.333 0.093
Re 0.667 0.333 0.834
Se 0.000 0.000 0.249
Se 0.333 0.667 0.916
Se 0.667 0.333 0.582
CELL_PARAMETERS angstrom
2.960 0.000 0.000
-1.480 2.564 0.000
0.000 0.000 27.146
```

Results
Energy = -108.3 eV per cell
Formation energy without anion corrections = 211 meV/atom


Computed, not measured: a geometry-optimized KMnZn4 structure at the GGA-PBE level of DFT. Values from VASP.

The structure in Quantum ESPRESSO input format:
```
&SYSTEM
  ibrav = 0, nat = 6, ntyp = 3
/
ATOMIC_SPECIES
K 39.10 K.upf
Mn 54.94 Mn.upf
Zn 65.41 Zn.upf
ATOMIC_POSITIONS crystal
K 0.000 0.000 0.000
Mn 0.750 0.750 0.750
Zn 0.377 0.377 0.377
Zn 0.377 0.377 0.869
Zn 0.377 0.869 0.377
Zn 0.869 0.377 0.377
CELL_PARAMETERS angstrom
0.000 3.815 3.815
3.815 0.000 3.815
3.815 3.815 0.000
```

Results
Energy = -13.7 eV per cell
ΔE_f = 1.6 eV/f.u.


Computed, not measured: a geometry-optimized AcHoGaPt structure at the GGA-PBE level of DFT. Values from VASP.

The structure in Quantum ESPRESSO input format:
```
&SYSTEM
  ibrav = 0, nat = 16, ntyp = 4
/
ATOMIC_SPECIES
Ac 227.00 Ac.upf
Ho 164.93 Ho.upf
Ga 69.72 Ga.upf
Pt 195.08 Pt.upf
ATOMIC_POSITIONS crystal
Ac 0.000 0.000 0.000
Ac 0.000 0.500 0.500
Ac 0.500 0.000 0.500
Ac 0.500 0.500 0.000
Ho 0.000 0.000 0.500
Ho 0.000 0.500 0.000
Ho 0.500 0.000 0.000
Ho 0.500 0.500 0.500
Ga 0.250 0.250 0.750
Ga 0.250 0.750 0.250
Ga 0.750 0.250 0.250
Ga 0.750 0.750 0.750
Pt 0.250 0.250 0.250
Pt 0.250 0.750 0.750
Pt 0.750 0.250 0.750
Pt 0.750 0.750 0.250
CELL_PARAMETERS angstrom
7.409 0.000 0.000
0.000 7.409 0.000
0.000 0.000 7.409
```

Results
Energy = -82.3 eV per cell
ΔE_f = -2.8 eV/f.u.


Computed, not measured: a geometry-optimized SmGdTh structure at the GGA-PBE level of DFT. Values from VASP.

The structure in Quantum ESPRESSO input format:
```
&SYSTEM
  ibrav = 0, nat = 3, ntyp = 3
/
ATOMIC_SPECIES
Sm 150.36 Sm.upf
Gd 157.25 Gd.upf
Th 232.04 Th.upf
ATOMIC_POSITIONS crystal
Sm 0.000 0.000 0.000
Gd 0.667 0.333 0.354
Th 0.333 0.667 0.674
CELL_PARAMETERS angstrom
3.595 0.000 0.000
-1.797 3.113 0.000
0.000 0.000 8.787
```

Results
Energy = -26.1 eV per cell
ΔE_f = 0.1 eV/f.u.


Computed, not measured: a geometry-optimized Pm3Er8Tm4 structure at the GGA-PBE level of DFT. Values from VASP.

The structure in Quantum ESPRESSO input format:
```
&SYSTEM
  ibrav = 0, nat = 15, ntyp = 3
/
ATOMIC_SPECIES
Pm 145.00 Pm.upf
Er 167.26 Er.upf
Tm 168.93 Tm.upf
ATOMIC_POSITIONS crystal
Pm 0.000 0.000 0.000
Pm 0.000 0.500 0.000
Pm 0.500 0.000 0.000
Er 0.140 0.860 0.500
Er 0.232 0.232 0.959
Er 0.240 0.240 0.489
Er 0.249 0.751 0.000
Er 0.751 0.249 0.000
Er 0.760 0.760 0.511
Er 0.768 0.768 0.041
Er 0.860 0.140 0.500
Tm 0.000 0.500 0.500
Tm 0.500 0.000 0.500
Tm 0.500 0.500 0.000
Tm 0.500 0.500 0.500
CELL_PARAMETERS angstrom
6.635 -6.390 0.000
6.635 6.390 0.000
-3.343 0.000 5.772
```

Results
Energy = -62.5 eV per cell
ΔE_f = 6.1 eV/f.u.


Computed, not measured: a geometry-optimized CaLaRu structure at the GGA-PBE level of DFT. Values from VASP.

The structure in Quantum ESPRESSO input format:
```
&SYSTEM
  ibrav = 0, nat = 3, ntyp = 3
/
ATOMIC_SPECIES
Ca 40.08 Ca.upf
La 138.91 La.upf
Ru 101.07 Ru.upf
ATOMIC_POSITIONS crystal
Ca 0.000 0.000 0.000
La 0.667 0.333 0.549
Ru 0.333 0.667 0.718
CELL_PARAMETERS angstrom
4.213 0.000 0.000
-2.106 3.649 0.000
0.000 0.000 6.294
```

Results
Energy = -16.1 eV per cell
ΔE_f = 0.1 eV/f.u.


Computed, not measured: a geometry-optimized Cd2TcAu structure at the GGA-PBE level of DFT. Values from VASP.

The structure in Quantum ESPRESSO input format:
```
&SYSTEM
  ibrav = 0, nat = 8, ntyp = 3
/
ATOMIC_SPECIES
Cd 112.41 Cd.upf
Tc 98.00 Tc.upf
Au 196.97 Au.upf
ATOMIC_POSITIONS crystal
Cd 0.000 0.000 0.244
Cd 0.000 0.000 0.756
Cd 0.500 0.500 0.244
Cd 0.500 0.500 0.756
Tc 0.000 0.500 0.000
Tc 0.500 0.000 0.000
Au 0.000 0.500 0.500
Au 0.500 0.000 0.500
CELL_PARAMETERS angstrom
3.540 0.000 0.000
0.000 4.441 0.000
0.000 0.000 9.214
```

Results
Energy = -29.1 eV per cell
ΔE_f = 0.9 eV/f.u.


What is the energy in the eleventh record? -16.1 eV per cell


Repeat the seventh record exactly.
Computed, not measured: a geometry-optimized KMnZn4 structure at the GGA-PBE level of DFT. Values from VASP.

The structure in Quantum ESPRESSO input format:
```
&SYSTEM
  ibrav = 0, nat = 6, ntyp = 3
/
ATOMIC_SPECIES
K 39.10 K.upf
Mn 54.94 Mn.upf
Zn 65.41 Zn.upf
ATOMIC_POSITIONS crystal
K 0.000 0.000 0.000
Mn 0.750 0.750 0.750
Zn 0.377 0.377 0.377
Zn 0.377 0.377 0.869
Zn 0.377 0.869 0.377
Zn 0.869 0.377 0.377
CELL_PARAMETERS angstrom
0.000 3.815 3.815
3.815 0.000 3.815
3.815 3.815 0.000
```

Results
Energy = -13.7 eV per cell
ΔE_f = 1.6 eV/f.u.


Which formula does entry 2 have? NaAgTe2